1.
! Li3NiC (PBE-GGA, optimized geometry); values from VASP
! **ΔH_f (0 K)**: 0.7285 eV per atom
! **Calculated volume**: 61 Å³ per cell
! **ΔE to the lowest computed polymorph**: 0 meV/atom
&SYSTEM
  ibrav = 0, nat = 5, ntyp = 3
/
ATOMIC_SPECIES
C 12.01 C.upf
Li 6.94 Li.upf
Ni 58.69 Ni.upf
CELL_PARAMETERS angstrom
3.934 0.000 0.000
0.000 3.934 0.000
0.000 0.000 3.934
ATOMIC_POSITIONS crystal
C 0.000 0.000 0.000
Li 0.000 0.500 0.000
Li 0.000 0.000 0.500
Li 0.500 0.000 0.000
Ni 0.500 0.500 0.500

=====

2.
! LiNi3C (PBE-GGA, optimized geometry); values from VASP
! **ΔH_f (0 K)**: -0.0594 eV per atom
! **Calculated volume**: 53 Å³ per cell
! **ΔE to the lowest computed polymorph**: 19 meV/atom
&SYSTEM
  ibrav = 0, nat = 5, ntyp = 3
/
ATOMIC_SPECIES
Li 6.94 Li.upf
Ni 58.69 Ni.upf
C 12.01 C.upf
CELL_PARAMETERS angstrom
3.749 0.000 0.000
0.000 3.749 0.000
0.000 0.000 3.749
ATOMIC_POSITIONS crystal
Li 0.500 0.500 0.500
Ni 0.500 0.000 0.000
Ni 0.000 0.000 0.500
Ni 0.000 0.500 0.000
C 0.000 0.000 0.000

=====

3.
! Li2Ni5C (PBE-GGA, optimized geometry); values from VASP
! **ΔH_f (0 K)**: 0.1380 eV per atom
! **Calculated volume**: 94 Å³ per cell
&SYSTEM
  ibrav = 0, nat = 8, ntyp = 3
/
ATOMIC_SPECIES
Li 6.94 Li.upf
C 12.01 C.upf
Ni 58.69 Ni.upf
CELL_PARAMETERS angstrom
3.805 0.000 0.000
0.000 4.963 0.000
0.000 0.000 4.963
ATOMIC_POSITIONS crystal
Li 0.500 0.000 0.500
Li 0.500 0.500 0.000
C 0.000 0.000 0.000
Ni 0.500 0.000 0.000
Ni 0.000 0.736 0.736
Ni 0.000 0.264 0.736
Ni 0.000 0.736 0.264
Ni 0.000 0.264 0.264

=====

| no. | Fermi-level density of states (states/eV/cell) | total moment (μB/f.u.) |
| --- | --- | --- |
| 1 | 2.7 | 1.05 |
| 2 | 9.2 | 0.74 |
| 3 | 6.9 | 0.00 |